Here is an optimized crystal structure of MnFeMoOs from the Alexandria database. Energies are from PBE.

Cell lengths 4.264, 4.264, 4.264 Å; angles 60.00, 60.00, 60.00 degrees
Fractional positions:
Mn  0.000  0.000  0.000
Fe  0.250  0.250  0.250
Mo  0.500  0.500  0.500
Os  0.750  0.750  0.750

For the density, the calculation gives 12.02 g/cm3. The raw total energy is -9.824 eV per atom. Its energy of formation from the pure elements is 0.10 eV/atom. As for the space group: F-43m, No. 216.